(1)
The following is a PBE calculation of a relaxed TbHoErAl crystal, from Alexandria.

Values from the calculation:
* uncorrected energy: -4.57 eV per atom
* offset from the most stable computed form: 0.0 kJ per mole of atoms
* size of the total moment: 0.00 μB per atom
* formation energy from the elements: -0.1906 eV/atom

Cell: 4.7382 4.7440 4.7490 Å, 90.00 90.00 90.00°
Last column: nearest neighbours and their distance in Å.
Space group Pmmm (No. 47)
Symmetry-distinct sites (fractional):
Tb 0.0000 0.0000 0.0000 x1  4 Al 3.35, 4 Er 3.35, 4 Ho 3.36
Ho 0.0000 0.5000 0.5000 x1  4 Er 3.35, 4 Al 3.35, 4 Tb 3.36
Er 0.5000 0.0000 0.5000 x1  4 Ho 3.35, 4 Tb 3.35, 4 Al 3.36
Al 0.5000 0.5000 0.0000 x1  4 Tb 3.35, 4 Ho 3.35, 4 Er 3.36

=====

(2)
The following is a PBE calculation of a relaxed TbHoErAl crystal, from Alexandria.

Values from the calculation:
* uncorrected energy: -4.43 eV per atom
* offset from the most stable computed form: 13.5 kJ per mole of atoms
* size of the total moment: 0.00 μB per atom
* formation energy from the elements: -0.0503 eV/atom

Cell: 7.5334 7.5334 7.5334 Å, 90.00 90.00 90.00°
Last column: nearest neighbours and their distance in Å.
Space group F-43m (No. 216)
Symmetry-distinct sites (fractional):
Tb 0.0000 0.0000 0.0000 x4  4 Al 3.26, 4 Ho 3.26
Ho 0.2500 0.2500 0.7500 x4  4 Tb 3.26, 4 Er 3.26
Er 0.0000 0.0000 0.5000 x4  4 Ho 3.26, 4 Al 3.26
Al 0.2500 0.2500 0.2500 x4  4 Tb 3.26, 4 Er 3.26

=====

(3)
The following is a PBE calculation of a relaxed HoErAlTc crystal, from Alexandria.

Values from the calculation:
* uncorrected energy: -6.00 eV per atom
* size of the total moment: 0.00 μB per atom
* formation energy from the elements: -0.1839 eV/atom

Cell: 6.9871 6.9871 6.9871 Å, 90.00 90.00 90.00°
Last column: nearest neighbours and their distance in Å.
Space group F-43m (No. 216)
Symmetry-distinct sites (fractional):
Ho 0.0000 0.0000 0.0000 x4  4 Tc 3.03, 4 Al 3.03
Er 0.0000 0.0000 0.5000 x4  4 Tc 3.03, 4 Al 3.03
Al 0.2500 0.2500 0.2500 x4  4 Ho 3.03, 4 Er 3.03
Tc 0.2500 0.2500 0.7500 x4  4 Ho 3.03, 4 Er 3.03

=====

(4)
The following is a PBE calculation of a relaxed HoErAlTl crystal, from Alexandria.

Values from the calculation:
* uncorrected energy: -4.13 eV per atom
* offset from the most stable computed form: 2.6 kJ per mole of atoms
* size of the total moment: 0.00 μB per atom
* formation energy from the elements: -0.3219 eV/atom

Cell: 7.3761 7.3761 7.3761 Å, 90.00 90.00 90.00°
Last column: nearest neighbours and their distance in Å.
Space group F-43m (No. 216)
Symmetry-distinct sites (fractional):
Ho 0.0000 0.0000 0.0000 x4  4 Tl 3.19, 4 Al 3.19
Er 0.0000 0.0000 0.5000 x4  4 Tl 3.19, 4 Al 3.19
Al 0.2500 0.2500 0.2500 x4  4 Ho 3.19, 4 Er 3.19
Tl 0.2500 0.2500 0.7500 x4  4 Ho 3.19, 4 Er 3.19

=====

(5)
The following is a PBE calculation of a relaxed HoErAlTl crystal, from Alexandria.

Values from the calculation:
* uncorrected energy: -4.16 eV per atom
* offset from the most stable computed form: 0.0 kJ per mole of atoms
* size of the total moment: 0.00 μB per atom
* formation energy from the elements: -0.3491 eV/atom

Cell: 3.5943 3.5943 7.7514 Å, 90.00 90.00 90.00°
Last column: nearest neighbours and their distance in Å.
Space group P4mm (No. 99)
Symmetry-distinct sites (fractional):
Ho 0.0000 0.0000 0.0000 x1  4 Al 3.13, 4 Tl 3.28
Er 0.0000 0.0000 0.5308 x1  4 Al 3.12, 4 Tl 3.26
Al 0.5000 0.5000 0.7644 x1  4 Er 3.12, 4 Ho 3.13
Tl 0.5000 0.5000 0.2670 x1  4 Er 3.26, 4 Ho 3.28, 4 Tl 3.59

=====

(6)
The following is a PBE calculation of a relaxed HoErTmAl crystal, from Alexandria.

Values from the calculation:
* uncorrected energy: -4.53 eV per atom
* offset from the most stable computed form: 0.0 kJ per mole of atoms
* size of the total moment: 0.00 μB per atom
* formation energy from the elements: -0.1960 eV/atom

Cell: 4.7056 4.7150 4.7216 Å, 90.00 90.00 90.00°
Last column: nearest neighbours and their distance in Å.
Space group Pmmm (No. 47)
Symmetry-distinct sites (fractional):
Ho 0.0000 0.0000 0.0000 x1  4 Al 3.33, 4 Tm 3.33, 4 Er 3.34
Er 0.0000 0.5000 0.5000 x1  4 Tm 3.33, 4 Al 3.33, 4 Ho 3.34
Tm 0.5000 0.0000 0.5000 x1  4 Er 3.33, 4 Ho 3.33, 4 Al 3.34
Al 0.5000 0.5000 0.0000 x1  4 Ho 3.33, 4 Er 3.33, 4 Tm 3.34